No. 1
PBE-GGA Ca2Hg5Pd3, optimized geometry; formation energy from the elements = -407 meV per atom; space-group type = Cmc2_1; crystal system = orthorhombic
1.0
-0.187 -2.990 3.131
6.473 2.724 2.987
-7.154 10.140 6.257
Pd Hg Ca
6 10 4
Direct
0.236 0.188 0.472 Pd
0.612 0.524 0.224 Pd
0.043 0.008 0.086 Pd
0.388 0.024 0.776 Pd
0.764 0.688 0.528 Pd
0.957 0.508 0.914 Pd
0.051 0.625 0.103 Hg
0.704 0.988 0.408 Hg
0.400 0.400 0.799 Hg
0.879 0.759 0.758 Hg
0.600 0.900 0.201 Hg
0.121 0.259 0.242 Hg
0.705 0.390 0.411 Hg
0.296 0.488 0.592 Hg
0.949 0.125 0.897 Hg
0.295 0.890 0.589 Hg
0.177 0.691 0.354 Ca
0.524 0.293 0.048 Ca
0.476 0.793 0.952 Ca
0.823 0.191 0.646 Ca



No. 2
PBE-GGA DyZnGaO4, optimized geometry; energy relative to the elements, uncorrected = -213.3 kJ/mol of atoms; space-group type = Imma; crystal system = orthorhombic
1.0
6.188 0.000 0.000
3.094 5.493 -0.045
3.094 1.631 5.246
O Zn Ga Dy
8 2 2 2
Direct
0.256 0.778 0.711 O
0.775 0.232 0.732 O
0.744 0.789 0.722 O
0.738 0.768 0.268 O
0.262 0.232 0.732 O
0.256 0.211 0.278 O
0.225 0.768 0.268 O
0.744 0.222 0.289 O
0.615 0.635 0.135 Zn
0.385 0.365 0.865 Zn
0.000 0.000 0.500 Ga
0.500 0.000 0.500 Ga
0.000 0.500 0.500 Dy
0.000 0.000 0.000 Dy



| no. | mass density (g/cm³) | final energy (Ry per atom) |
| --- | --- | --- |
| 1 | 10.3 | -0.1850 |
| 2 | 6.7 | -0.4642 |